No. 1
Entry from Alexandria via LeMat-Bulk: Tb5Se5S2 after structural relaxation (GGA-PBE).

Output
Size of the total moment: 0.00 μB/f.u.
Formation energy without anion corrections: -1.94 eV/atom
Energy: -6.005 eV per atom

Cell: 6.9550 6.9550 11.9885 Å, 104.74 104.74 33.16°
Closest atoms and distances in Å follow each position.
Element x y z (fractional)
Tb1 0.0000 0.0000 0.0000  2 S 2.73, 4 Se 2.87
Tb2 0.1098 0.1098 0.4137  1 S 2.71, 5 Se 2.82-2.96
Tb3 0.3098 0.3098 0.1920  2 S 2.78, 5 Se 2.98-3.05
Tb4 0.6902 0.6902 0.8080  2 S 2.78, 5 Se 2.98-3.05
Tb5 0.8902 0.8902 0.5863  1 S 2.71, 5 Se 2.82-2.96
Se1 0.2559 0.2559 0.6480  5 Tb 2.90-3.05
Se2 0.3384 0.3384 0.9481  5 Tb 2.87-3.05
Se3 0.5000 0.5000 0.5000  4 Tb 2.82
Se4 0.6616 0.6616 0.0519  5 Tb 2.87-3.05
Se5 0.7441 0.7441 0.3520  5 Tb 2.90-3.05
S1 0.0407 0.0407 0.7885  4 Tb 2.71-2.78
S2 0.9593 0.9593 0.2115  4 Tb 2.71-2.78

=====

No. 2
Entry from Alexandria via LeMat-Bulk: Tb4SeS2 after structural relaxation (GGA-PBE).

Output
Size of the total moment: 0.00 μB/f.u.
Formation energy without anion corrections: -1.65 eV/atom
Energy: -5.970 eV per atom

Cell: 13.1259 13.1259 13.1259 Å, 17.15 17.15 17.15°
Closest atoms and distances in Å follow each position.
Element x y z (fractional)
Tb1 0.1285 0.1285 0.1285  3 S 2.76
Tb2 0.2854 0.2854 0.2854  3 S 2.73, 3 Se 2.93
Tb3 0.7146 0.7146 0.7146  3 S 2.73, 3 Se 2.93
Tb4 0.8715 0.8715 0.8715  3 S 2.76
Se1 0.0000 0.0000 0.0000  6 Tb 2.93
S1 0.4208 0.4208 0.4208  6 Tb 2.73-2.76
S2 0.5792 0.5792 0.5792  6 Tb 2.73-2.76

=====

No. 3
Entry from Alexandria via LeMat-Bulk: Tb6Se3S2 after structural relaxation (GGA-PBE).

Output
Size of the total moment: 0.00 μB/f.u.
Formation energy without anion corrections: -1.69 eV/atom
Energy: -5.912 eV per atom

Cell: 19.8827 19.8827 19.8827 Å, 11.46 11.46 11.46°
Closest atoms and distances in Å follow each position.
Element x y z (fractional)
Tb1 0.0898 0.0898 0.0898  3 S 2.75, 3 Se 2.93
Tb2 0.1915 0.1915 0.1915  3 S 2.78
Tb3 0.3616 0.3616 0.3616  6 Se 2.84-2.93
Tb4 0.6384 0.6384 0.6384  6 Se 2.84-2.93
Tb5 0.8085 0.8085 0.8085  3 S 2.78
Tb6 0.9102 0.9102 0.9102  3 S 2.75, 3 Se 2.93
Se1 0.0000 0.0000 0.0000  6 Tb 2.84
Se2 0.2743 0.2743 0.2743  6 Tb 2.93
Se3 0.7257 0.7257 0.7257  6 Tb 2.93
S1 0.4487 0.4487 0.4487  6 Tb 2.75-2.78
S2 0.5513 0.5513 0.5513  6 Tb 2.75-2.78

=====

No. 4
Entry from Alexandria via LeMat-Bulk: Tb5Se4S after structural relaxation (GGA-PBE).

Output
Size of the total moment: 0.00 μB/f.u.
Formation energy without anion corrections: -1.81 eV/atom
Energy: -5.931 eV per atom
E above lowest polymorph: 3 meV/atom

Cell: 10.7879 10.7879 10.7879 Å, 158.35 149.16 38.00°
Closest atoms and distances in Å follow each position.
Element x y z (fractional)
Tb1 0.0000 0.0000 0.0000  2 S 2.87, 4 Se 2.88
Tb2 0.2017 0.2017 0.0000  6 Se 2.87-2.90
Tb3 0.4066 0.4066 0.0000  2 S 2.78, 4 Se 2.87-2.92
Tb4 0.5934 0.5934 0.0000  2 S 2.78, 4 Se 2.87-2.92
Tb5 0.7983 0.7983 0.0000  6 Se 2.87-2.90
Se1 0.1005 0.6005 0.5000  6 Tb 2.87-2.89
Se2 0.3032 0.8032 0.5000  6 Tb 2.87-2.92
Se3 0.6968 0.1968 0.5000  6 Tb 2.87-2.92
Se4 0.8995 0.3995 0.5000  6 Tb 2.87-2.89
S1 0.5000 0.0000 0.5000  6 Tb 2.78-2.87

=====

No. 5
Entry from Alexandria via LeMat-Bulk: Tb8SeS6 after structural relaxation (GGA-PBE).

Output
Size of the total moment: 0.00 μB/f.u.
Formation energy without anion corrections: -1.58 eV/atom
Energy: -5.936 eV per atom

Cell: 10.1293 10.1293 4.0041 Å, 90.00 90.00 120.00°
Closest atoms and distances in Å follow each position.
Element x y z (fractional)
Tb1 0.0355 0.3358 0.2415  4 S 2.67-2.84
Tb2 0.3003 0.9645 0.2415  4 S 2.67-2.84
Tb3 0.3333 0.6667 0.7533  6 S 2.79-2.80
Tb4 0.3358 0.3003 0.7585  4 S 2.67-2.84
Tb5 0.6642 0.6997 0.2415  4 S 2.67-2.84
Tb6 0.6667 0.3333 0.2467  6 S 2.79-2.80
Tb7 0.6997 0.0355 0.7585  4 S 2.67-2.84
Tb8 0.9645 0.6642 0.7585  4 S 2.67-2.84
Se1 0.0000 0.0000 0.0000  6 Tb 3.38
S1 0.1343 0.6525 0.2541  6 Tb 2.67-2.84
S2 0.3475 0.4818 0.2541  6 Tb 2.67-2.84
S3 0.4818 0.1343 0.7459  6 Tb 2.67-2.84
S4 0.5182 0.8657 0.2541  6 Tb 2.67-2.84
S5 0.6525 0.5182 0.7459  6 Tb 2.67-2.84
S6 0.8657 0.3475 0.7459  6 Tb 2.67-2.84

=====

No. 6
Entry from Alexandria via LeMat-Bulk: Tb4SeS3 after structural relaxation (GGA-PBE).

Output
Size of the total moment: 0.00 μB/f.u.
Formation energy without anion corrections: -1.92 eV/atom
Energy: -6.219 eV per atom
E above lowest polymorph: 39 meV/atom

Cell: 5.6183 5.6183 5.6183 Å, 90.00 90.00 90.00°
Closest atoms and distances in Å follow each position.
Element x y z (fractional)
Tb1 0.0000 0.0000 0.0000  6 S 2.81
Tb2 0.0000 0.5000 0.5000  2 Se 2.81, 4 S 2.81
Tb3 0.5000 0.0000 0.5000  2 Se 2.81, 4 S 2.81
Tb4 0.5000 0.5000 0.0000  2 Se 2.81, 4 S 2.81
Se1 0.5000 0.5000 0.5000  6 Tb 2.81
S1 0.0000 0.0000 0.5000  6 Tb 2.81
S2 0.0000 0.5000 0.0000  6 Tb 2.81
S3 0.5000 0.0000 0.0000  6 Tb 2.81

=====

Calculated V, 25.5, 24.5, 24.5, 23.7, 23.7, 22.2 Å³ per atom (same order as the records).